No. 1
First-principles (PBE-GGA) data for an optimized crystal structure of MgGe2Pd8, as listed in Alexandria via LeMat-Bulk.

abc: 4.530 6.678 6.678
angles: 112.62 99.81 99.81
Element x y z (fractional)
Mg 0.500 0.000 0.000
Ge 0.000 0.318 0.682
Ge 0.000 0.682 0.318
Pd 0.904 0.926 0.679
Pd 0.904 0.679 0.926
Pd 0.321 0.618 0.618
Pd 0.500 0.764 0.236
Pd 0.500 0.236 0.764
Pd 0.679 0.382 0.382
Pd 0.096 0.321 0.074
Pd 0.096 0.074 0.321

Properties
ρ (kg/m3): 9553
Magnetization (μB/f.u.): 0.000
SG: No. 12
Excess energy over the best structure of this formula in the dataset (eV/atom): 0.0462
Density of states at the Fermi level (states/eV per atom): 0.300
DFT formation energy (eV/atom): -0.429
E (eV for the cell shown): -57.09

No. 2
First-principles (PBE-GGA) data for an optimized crystal structure of MgGe2Pd8, as listed in Alexandria via LeMat-Bulk.

abc: 4.049 7.015 7.289
angles: 118.76 106.13 90.00
Element x y z (fractional)
Mg 0.500 0.000 0.000
Ge 0.184 0.684 0.367
Ge 0.816 0.316 0.633
Pd 0.665 0.886 0.330
Pd 0.335 0.557 0.670
Pd 0.146 0.146 0.291
Pd 0.000 0.304 0.000
Pd 0.854 0.854 0.709
Pd 0.665 0.443 0.330
Pd 0.335 0.114 0.670
Pd 0.000 0.696 0.000

Properties
ρ (kg/m3): 9848
Magnetization (μB/f.u.): 0.000
SG: No. 71
Excess energy over the best structure of this formula in the dataset (eV/atom): 0.0000
Density of states at the Fermi level (states/eV per atom): 0.284
DFT formation energy (eV/atom): -0.475
E (eV for the cell shown): -57.60

No. 3
First-principles (PBE-GGA) data for an optimized crystal structure of Mg2GePd, as listed in Alexandria via LeMat-Bulk.

abc: 4.336 5.414 6.449
angles: 106.44 90.00 90.00
Element x y z (fractional)
Mg 0.750 0.228 0.425
Mg 0.250 0.772 0.575
Mg 0.250 0.860 0.080
Mg 0.750 0.140 0.920
Ge 0.750 0.669 0.261
Ge 0.250 0.331 0.739
Pd 0.250 0.386 0.174
Pd 0.750 0.614 0.826

Properties
ρ (kg/m3): 5208
Magnetization (μB/f.u.): 0.000
SG: No. 11
Density of states at the Fermi level (states/eV per atom): 0.341
DFT formation energy (eV/atom): -0.449
E (eV for the cell shown): -29.59

No. 4
First-principles (PBE-GGA) data for an optimized crystal structure of Mg2Ge5Pd12, as listed in Alexandria via LeMat-Bulk.

abc: 5.561 7.689 8.448
angles: 103.93 90.00 111.20
Element x y z (fractional)
Mg 0.754 0.000 0.000
Mg 0.246 0.000 0.000
Ge 0.306 0.612 0.637
Ge 0.345 0.691 0.145
Ge 0.000 0.000 0.500
Ge 0.655 0.309 0.855
Ge 0.694 0.388 0.363
Pd 0.087 0.173 0.287
Pd 0.058 0.614 0.888
Pd 0.556 0.614 0.888
Pd 0.101 0.696 0.404
Pd 0.595 0.696 0.404
Pd 0.486 0.971 0.685
Pd 0.514 0.029 0.315
Pd 0.899 0.304 0.596
Pd 0.405 0.304 0.596
Pd 0.942 0.386 0.112
Pd 0.444 0.386 0.112
Pd 0.913 0.827 0.713

Properties
ρ (kg/m3): 8620
Magnetization (μB/f.u.): 0.000
SG: No. 12
Density of states at the Fermi level (states/eV per atom): 0.313
DFT formation energy (eV/atom): -0.398
E (eV for the cell shown): -96.16

No. 5
First-principles (PBE-GGA) data for an optimized crystal structure of MgGe2Pd6, as listed in Alexandria via LeMat-Bulk.

abc: 4.413 4.840 7.763
angles: 75.47 73.49 62.88
Element x y z (fractional)
Mg 0.000 0.500 0.500
Ge 0.336 0.561 0.768
Ge 0.664 0.439 0.232
Pd 0.680 0.722 0.917
Pd 0.320 0.278 0.083
Pd 0.971 0.872 0.186
Pd 0.355 0.856 0.434
Pd 0.029 0.128 0.814
Pd 0.645 0.144 0.566

Properties
ρ (kg/m3): 9581
Magnetization (μB/f.u.): 0.000
SG: No. 12
Density of states at the Fermi level (states/eV per atom): 0.367
DFT formation energy (eV/atom): -0.495
E (eV for the cell shown): -46.44

No. 6
First-principles (PBE-GGA) data for an optimized crystal structure of Mg2GePd, as listed in Alexandria via LeMat-Bulk.

abc: 4.530 4.530 4.998
angles: 63.05 63.05 60.00
Element x y z (fractional)
Mg 0.045 0.045 0.864
Mg 0.269 0.269 0.193
Ge 0.492 0.492 0.523
Pd 0.693 0.693 0.920

Properties
ρ (kg/m3): 4994
Magnetization (μB/f.u.): 0.000
SG: No. 160
Density of states at the Fermi level (states/eV per atom): 0.325
DFT formation energy (eV/atom): -0.281
E (eV for the cell shown): -14.12

Q: The highest density of states at the Fermi level belongs to which entry?
A: MgGe2Pd6